Record 1
## ZrAg3C (GGA-PBE)

Data for ZrAg3C after structural relaxation.

Cell: 4.3950 4.3950 4.3950 Å, 90.00 90.00 90.00°
With the nearest neighbours (Å) after each atom.
Atoms (fractional coordinates):
Zr  0.0000  0.0000  0.0000  12 Ag 3.11
Ag  0.0000  0.5000  0.5000  2 C 2.20
Ag  0.5000  0.0000  0.5000  2 C 2.20
Ag  0.5000  0.5000  0.0000  2 C 2.20
C  0.5000  0.5000  0.5000  6 Ag 2.20

Properties
The value obtained for the total magnetization is 0.235 μB/atom. The value obtained for the distance to the lowest polymorph of the same formula is 0.0 kJ per mole of atoms. The calculation puts the density at 8.35 g/cm³. As for the density of states at the Fermi level: 0.883 states/eV per atom. Its volume is 17.0 Å³ per atom. The symmetry is Pm-3m. The value obtained for the formation energy is 0.8676 eV/atom.

***

Record 2
## Hf2Be2Mo (GGA-PBE)

Data for Hf2Be2Mo after structural relaxation.

Cell: 6.4981 6.4981 3.6131 Å, 90.00 90.00 90.00°
With the nearest neighbours (Å) after each atom.
Atoms (fractional coordinates):
Hf  0.1842  0.3158  0.0000  6 Be 2.59-2.69
Hf  0.3158  0.8158  0.0000  6 Be 2.59-2.69
Hf  0.6842  0.1842  0.0000  6 Be 2.59-2.69
Hf  0.8158  0.6842  0.0000  6 Be 2.59-2.69
Be  0.1146  0.6146  0.5000  1 Be 2.11
Be  0.3854  0.1146  0.5000  1 Be 2.11
Be  0.6146  0.8854  0.5000  1 Be 2.11
Be  0.8854  0.3854  0.5000  1 Be 2.11
Mo  0.0000  0.0000  0.5000  4 Be 2.61
Mo  0.5000  0.5000  0.5000  4 Be 2.61

Properties
The value obtained for the total magnetization is 0.000 μB/atom. The calculation puts the density at 10.25 g/cm³. As for the density of states at the Fermi level: 1.118 states/eV per atom. Its volume is 15.3 Å³ per atom. The symmetry is P4/mbm. The value obtained for the formation energy is -0.0941 eV/atom.

***

Record 3
## Cr2As2W (GGA-PBE)

Data for Cr2As2W after structural relaxation.

Cell: 6.9573 6.9573 2.9706 Å, 90.00 90.00 90.00°
With the nearest neighbours (Å) after each atom.
Atoms (fractional coordinates):
Cr  0.1434  0.3566  0.0000  6 As 2.49-2.55
Cr  0.3566  0.8566  0.0000  6 As 2.49-2.55
Cr  0.6434  0.1434  0.0000  6 As 2.49-2.55
Cr  0.8566  0.6434  0.0000  6 As 2.49-2.55
As  0.1539  0.6539  0.5000  6 Cr 2.49-2.55, 2 W 2.64
As  0.3461  0.1539  0.5000  6 Cr 2.49-2.55, 2 W 2.64
As  0.6539  0.8461  0.5000  6 Cr 2.49-2.55, 2 W 2.64
As  0.8461  0.3461  0.5000  6 Cr 2.49-2.55, 2 W 2.64
W  0.0000  0.0000  0.5000  4 As 2.64
W  0.5000  0.5000  0.5000  4 As 2.64

Properties
The value obtained for the total magnetization is 0.795 μB/atom. The value obtained for the distance to the lowest polymorph of the same formula is 0.0 kJ per mole of atoms. The calculation puts the density at 10.11 g/cm³. As for the density of states at the Fermi level: 0.970 states/eV per atom. Its volume is 14.4 Å³ per atom. The symmetry is P4/mbm. The value obtained for the formation energy is 0.1926 eV/atom.

***

Record 4
## PaCuPdPb (GGA-PBE)

Data for PaCuPdPb after structural relaxation.

Cell: 4.8635 4.8635 4.8635 Å, 60.00 60.00 60.00°
With the nearest neighbours (Å) after each atom.
Atoms (fractional coordinates):
Pa  0.0000  0.0000  0.0000  4 Cu 2.98, 4 Pd 2.98
Cu  0.7500  0.7500  0.7500  4 Pa 2.98, 4 Pb 2.98
Pd  0.2500  0.2500  0.2500  4 Pb 2.98, 4 Pa 2.98
Pb  0.5000  0.5000  0.5000  4 Cu 2.98, 4 Pd 2.98

Properties
The value obtained for the total magnetization is 0.000 μB/atom. The calculation puts the density at 12.42 g/cm³. As for the density of states at the Fermi level: 0.678 states/eV per atom. Its volume is 20.3 Å³ per atom. The symmetry is F-43m. The value obtained for the formation energy is -0.2131 eV/atom.

***

Record 5
## Zn4Pd7Pt (GGA-PBE)

Data for Zn4Pd7Pt after structural relaxation.

Cell: 6.0189 6.0189 8.0547 Å, 117.94 117.94 50.99°
With the nearest neighbours (Å) after each atom.
Atoms (fractional coordinates):
Zn  0.0114  0.0114  0.1829  6 Pd 2.52-2.63
Zn  0.2536  0.2536  0.8160  7 Pd 2.61-2.68, 1 Zn 2.88
Zn  0.7464  0.7464  0.1840  7 Pd 2.61-2.68, 1 Zn 2.88
Zn  0.9886  0.9886  0.8171  6 Pd 2.52-2.63
Pd  0.0000  0.0000  0.5000  2 Pt 2.59, 4 Zn 2.61-2.62, 2 Pd 2.79
Pd  0.2308  0.2308  0.1291  5 Zn 2.52-2.66, 2 Pd 2.71-2.80
Pd  0.2537  0.2537  0.4922  2 Zn 2.52-2.61, 5 Pd 2.60-2.80, 1 Pt 2.64
Pd  0.4907  0.4907  0.1580  4 Zn 2.60-2.68, 3 Pd 2.65-2.74, 1 Pt 2.70
Pd  0.5093  0.5093  0.8420  4 Zn 2.60-2.68, 3 Pd 2.65-2.74, 1 Pt 2.70
Pd  0.7463  0.7463  0.5078  2 Zn 2.52-2.61, 5 Pd 2.60-2.80, 1 Pt 2.64
Pd  0.7692  0.7692  0.8709  5 Zn 2.52-2.66, 2 Pd 2.71-2.80
Pt  0.5000  0.5000  0.5000  8 Pd 2.59-2.90

Properties
The value obtained for the total magnetization is 0.000 μB/atom. The calculation puts the density at 10.30 g/cm³. As for the density of states at the Fermi level: 0.513 states/eV per atom. Its volume is 16.1 Å³ per atom. The symmetry is C2/m. The value obtained for the formation energy is -0.1340 eV/atom.

***

Record 6
## Be2CoRu2 (GGA-PBE)

Data for Be2CoRu2 after structural relaxation.

Cell: 6.4456 6.4456 2.7756 Å, 90.00 90.00 90.00°
With the nearest neighbours (Å) after each atom.
Atoms (fractional coordinates):
Be  0.1601  0.3399  0.0000  6 Ru 2.30-2.38
Be  0.3399  0.8399  0.0000  6 Ru 2.30-2.38
Be  0.6601  0.1601  0.0000  6 Ru 2.30-2.38
Be  0.8399  0.6601  0.0000  6 Ru 2.30-2.38
Co  0.0000  0.0000  0.5000  4 Ru 2.50, 2 Co 2.78, 8 Be 2.79
Co  0.5000  0.5000  0.5000  4 Ru 2.50, 2 Co 2.78, 8 Be 2.79
Ru  0.1382  0.6382  0.5000  6 Be 2.30-2.38, 2 Co 2.50, 1 Ru 2.52
Ru  0.3618  0.1382  0.5000  6 Be 2.30-2.38, 2 Co 2.50, 1 Ru 2.52
Ru  0.6382  0.8618  0.5000  6 Be 2.30-2.38, 2 Co 2.50, 1 Ru 2.52
Ru  0.8618  0.3618  0.5000  6 Be 2.30-2.38, 2 Co 2.50, 1 Ru 2.52

Properties
The value obtained for the total magnetization is 0.000 μB/atom. The value obtained for the distance to the lowest polymorph of the same formula is 39.0 kJ per mole of atoms. The calculation puts the density at 8.04 g/cm³. As for the density of states at the Fermi level: 1.435 states/eV per atom. Its volume is 11.5 Å³ per atom. The symmetry is P4/mbm. The value obtained for the formation energy is 0.2082 eV/atom.

***

Record 7
## Tb8Si3PS4 (GGA-PBE)

Data for Tb8Si3PS4 after structural relaxation.

Cell: 8.0842 8.0842 8.0842 Å, 59.89 59.89 59.89°
With the nearest neighbours (Å) after each atom.
Atoms (fractional coordinates):
Tb  0.2493  0.7477  0.7477  1 P 2.83, 2 Si 2.84, 3 S 2.87-2.88
Tb  0.2497  0.2497  0.2497  3 Si 2.85, 3 S 2.86
Tb  0.2523  0.2523  0.7507  1 P 2.83, 2 Si 2.84, 3 S 2.87-2.88
Tb  0.2523  0.7507  0.2523  1 P 2.83, 2 Si 2.84, 3 S 2.87-2.88
Tb  0.7477  0.2493  0.7477  1 P 2.83, 2 Si 2.84, 3 S 2.87-2.88
Tb  0.7477  0.7477  0.2493  1 P 2.83, 2 Si 2.84, 3 S 2.87-2.88
Tb  0.7503  0.7503  0.7503  3 Si 2.85, 3 S 2.86
Tb  0.7507  0.2523  0.2523  1 P 2.83, 2 Si 2.84, 3 S 2.87-2.88
Si  0.0000  0.0000  0.5000  6 Tb 2.84-2.85
Si  0.0000  0.5000  0.0000  6 Tb 2.84-2.85
Si  0.5000  0.0000  0.0000  6 Tb 2.84-2.85
P  0.5000  0.5000  0.5000  6 Tb 2.83
S  0.0000  0.0000  0.0000  6 Tb 2.88
S  0.0000  0.5000  0.5000  6 Tb 2.86-2.87
S  0.5000  0.0000  0.5000  6 Tb 2.86-2.87
S  0.5000  0.5000  0.0000  6 Tb 2.86-2.87

Properties
The value obtained for the total magnetization is 0.000 μB/atom. The calculation puts the density at 6.75 g/cm³. As for the density of states at the Fermi level: 0.273 states/eV per atom. Its volume is 23.3 Å³ per atom. For the raw total energy, the calculation gives -0.4568 Ry/atom. The symmetry is R-3m.

***

Record 8
## PrNdSm2Tl2 (GGA-PBE)

Data for PrNdSm2Tl2 after structural relaxation.

Cell: 5.2646 10.3149 6.9151 Å, 90.00 90.00 90.00°
With the nearest neighbours (Å) after each atom.
Atoms (fractional coordinates):
Pr  0.0000  0.0428  0.0000  5 Tl 3.34-3.65, 2 Nd 3.54, 2 Pr 3.57
Pr  0.0000  0.9572  0.5000  5 Tl 3.34-3.65, 2 Nd 3.54, 2 Pr 3.57
Nd  0.5000  0.1853  0.7312  5 Tl 3.29-3.68, 2 Pr 3.54
Nd  0.5000  0.8147  0.2312  5 Tl 3.29-3.68, 2 Pr 3.54
Sm  0.0000  0.3177  0.3689  4 Tl 3.25-3.30, 2 Sm 3.55
Sm  0.0000  0.6823  0.8689  4 Tl 3.25-3.30, 2 Sm 3.55
Sm  0.5000  0.4575  0.0939  5 Tl 3.30-3.61, 4 Sm 3.55-3.57
Sm  0.5000  0.5425  0.5939  5 Tl 3.30-3.61, 4 Sm 3.55-3.57
Tl  0.0000  0.3677  0.8395  6 Sm 3.25-3.61, 2 Nd 3.32, 1 Pr 3.53
Tl  0.0000  0.6323  0.3395  6 Sm 3.25-3.61, 2 Nd 3.32, 1 Pr 3.53
Tl  0.5000  0.1410  0.2596  3 Sm 3.29-3.46, 3 Nd 3.29-3.68, 4 Pr 3.34-3.65
Tl  0.5000  0.8590  0.7596  3 Sm 3.29-3.46, 3 Nd 3.29-3.68, 4 Pr 3.34-3.65

Properties
The value obtained for the total magnetization is 0.000 μB/atom. The calculation puts the density at 8.80 g/cm³. As for the density of states at the Fermi level: 1.164 states/eV per atom. Its volume is 31.3 Å³ per atom. The symmetry is Pmc2_1. The value obtained for the formation energy is -0.2722 eV/atom.

***

Record 9
## La6PrSm5 (GGA-PBE)

Data for La6PrSm5 after structural relaxation.

Cell: 6.3489 7.4367 9.0424 Å, 90.00 91.02 90.00°
With the nearest neighbours (Å) after each atom.
Atoms (fractional coordinates):
La  0.0000  0.2488  0.0000  6 Sm 3.67-3.69, 2 Pr 3.68, 4 La 3.70-3.74
La  0.0000  0.7512  0.0000  6 Sm 3.67-3.69, 2 Pr 3.68, 4 La 3.70-3.74
La  0.3327  0.2495  0.6657  7 Sm 3.67-3.69, 1 Pr 3.69, 4 La 3.70-3.73
La  0.3327  0.7505  0.6657  7 Sm 3.67-3.69, 1 Pr 3.69, 4 La 3.70-3.73
La  0.6673  0.2495  0.3343  7 Sm 3.67-3.69, 1 Pr 3.69, 4 La 3.70-3.73
La  0.6673  0.7505  0.3343  7 Sm 3.67-3.69, 1 Pr 3.69, 4 La 3.70-3.73
Pr  0.5000  0.5000  0.0000  8 La 3.68-3.69, 4 Sm 3.72
Sm  0.1665  0.5000  0.3339  8 La 3.67-3.69, 3 Sm 3.70-3.72, 1 Pr 3.72
Sm  0.1671  0.0000  0.3333  8 La 3.67-3.68, 4 Sm 3.71-3.72
Sm  0.5000  0.0000  0.0000  8 La 3.67-3.69, 2 Sm 3.71, 2 Pr 3.72
Sm  0.8329  0.0000  0.6667  8 La 3.67-3.68, 4 Sm 3.71-3.72
Sm  0.8335  0.5000  0.6661  8 La 3.67-3.69, 3 Sm 3.70-3.72, 1 Pr 3.72

Properties
The value obtained for the total magnetization is 0.000 μB/atom. The value obtained for the distance to the lowest polymorph of the same formula is 0.5 kJ per mole of atoms. The calculation puts the density at 6.71 g/cm³. As for the density of states at the Fermi level: 1.652 states/eV per atom. Its volume is 35.6 Å³ per atom. The symmetry is P2/m. The value obtained for the formation energy is 0.0156 eV/atom.

***

Record 10
## Y2PuCl (GGA-PBE)

Data for Y2PuCl after structural relaxation.

Cell: 10.0362 10.0362 10.0362 Å, 20.45 20.45 20.45°
With the nearest neighbours (Å) after each atom.
Atoms (fractional coordinates):
Y  0.2410  0.2410  0.2410  3 Cl 3.01
Y  0.7590  0.7590  0.7590  3 Cl 3.01
Pu  0.0000  0.0000  0.0000  6 Y 3.41, 6 Pu 3.56
Cl  0.5000  0.5000  0.5000  6 Y 3.01

Properties
The value obtained for the total magnetization is 1.483 μB/atom. The calculation puts the density at 7.03 g/cm³. As for the density of states at the Fermi level: 1.728 states/eV per atom. Its volume is 27.0 Å³ per atom. For the raw total energy, the calculation gives -0.5785 Ry/atom. The symmetry is R-3m.

***

Record 11
## LiRuRh2 (GGA-PBE)

Data for LiRuRh2 after structural relaxation.

Cell: 4.5891 4.5891 4.5891 Å, 130.88 130.88 72.01°
With the nearest neighbours (Å) after each atom.
Atoms (fractional coordinates):
Li  0.0000  0.0000  0.0000  8 Rh 2.66, 4 Ru 2.70
Ru  0.5000  0.5000  0.0000  8 Rh 2.66, 4 Li 2.70
Rh  0.2500  0.7500  0.5000  4 Ru 2.66, 4 Li 2.66, 4 Rh 2.70
Rh  0.7500  0.2500  0.5000  4 Ru 2.66, 4 Li 2.66, 4 Rh 2.70

Properties
The value obtained for the total magnetization is 0.209 μB/atom. The value obtained for the distance to the lowest polymorph of the same formula is 5.4 kJ per mole of atoms. The calculation puts the density at 9.64 g/cm³. As for the density of states at the Fermi level: 1.234 states/eV per atom. Its volume is 13.5 Å³ per atom. The symmetry is I4/mmm. The value obtained for the formation energy is 0.0432 eV/atom.

***

Record 12
## CsLaNF2 (GGA-PBE)

Data for CsLaNF2 after structural relaxation.

Cell: 4.9536 4.9536 4.3403 Å, 90.00 90.00 90.00°
With the nearest neighbours (Å) after each atom.
Atoms (fractional coordinates):
Cs  0.0000  0.0000  0.0000  8 F 3.29, 4 N 3.50
La  0.5000  0.5000  0.5000  2 N 2.17
N  0.5000  0.5000  0.0000  2 La 2.17
F  0.0000  0.5000  0.5000  2 La 2.48
F  0.5000  0.0000  0.5000  2 La 2.48

Properties
The value obtained for the total magnetization is 0.000 μB/atom. The value obtained for the distance to the lowest polymorph of the same formula is 0.0 kJ per mole of atoms. The calculation puts the density at 5.05 g/cm³. As for the density of states at the Fermi level: 0.181 states/eV per atom. Its volume is 21.3 Å³ per atom. The symmetry is P4/mmm.

***

Q: Which of these has the highest density of states at the Fermi level?
A: Y2PuCl

***

Q: Which value of volume does entry 12 give?
A: 21.3 Å³ per atom

***

Q: What is the formula in the seventh record?
A: Tb8Si3PS4

***

Q: What is the formula in the twelfth record?
A: CsLaNF2